# 1
Here is crystalline CaZnGa2Pt at its relaxed geometry from the Alexandria database. Energies are from PBE.

The space group is Imm2 (44). For the energy, the calculation gives -3.68 eV per atom.

Cell lengths 4.2104, 4.2226, 6.2779 Å; angles 109.65, 109.59, 90.00 degrees
Last column: nearest neighbours and their distance in Å.
Element x y z (fractional)
Pt 0.8292 0.8292 0.6583  3 Ga 2.47-2.56, 2 Zn 2.59
Ca 0.4395 0.4395 0.8791  4 Pt 3.22, 8 Ga 3.23-3.56, 4 Zn 3.45-3.50
Zn 0.1920 0.6921 0.3841  2 Pt 2.59, 2 Ga 2.61
Ga 0.6989 0.1989 0.3978  2 Pt 2.56, 2 Ga 2.65
Ga 0.0525 0.0525 0.1050  1 Pt 2.47, 2 Zn 2.61, 2 Ga 2.65

# 2
Here is crystalline Ca2Zn4GaPt3 at its relaxed geometry from the Alexandria database. Energies are from PBE.

The space group is P-4m2 (115). For the energy, the calculation gives -3.65 eV per atom.

Cell lengths 4.0384, 4.0384, 11.6336 Å; angles 90.00, 90.00, 90.00 degrees
Last column: nearest neighbours and their distance in Å.
Element x y z (fractional)
Ca 0.5000 0.0000 0.2407  4 Pt 3.08, 8 Zn 3.16-3.45
Ca 0.0000 0.5000 0.7593  4 Pt 3.08, 8 Zn 3.16-3.45
Pt 0.5000 0.0000 0.8595  5 Zn 2.52-2.60
Pt 0.0000 0.0000 0.5000  4 Zn 2.61, 4 Ga 2.86
Pt 0.0000 0.5000 0.1405  5 Zn 2.52-2.60
Zn 0.0000 0.5000 0.3572  3 Pt 2.52-2.61, 2 Ga 2.61
Zn 0.5000 0.0000 0.6428  3 Pt 2.52-2.61, 2 Ga 2.61
Zn 0.5000 0.5000 0.0000  4 Pt 2.60, 4 Zn 2.86
Zn 0.0000 0.0000 0.0000  4 Pt 2.60, 4 Zn 2.86
Ga 0.5000 0.5000 0.5000  4 Zn 2.61, 4 Pt 2.86

# 3
Here is crystalline CaZn2Ga4Pt at its relaxed geometry from the Alexandria database. Energies are from PBE.

The space group is R-3m (166). For the energy, the calculation gives -3.16 eV per atom.

Cell lengths 4.3348, 4.3348, 9.5370 Å; angles 76.86, 76.86, 60.00 degrees
Last column: nearest neighbours and their distance in Å.
Element x y z (fractional)
Ga 0.4045 0.4045 0.7865  3 Zn 2.50, 1 Pt 2.64
Ga 0.5955 0.5955 0.2135  3 Zn 2.50, 1 Pt 2.64
Ga 0.1306 0.1306 0.6082  3 Pt 2.69, 3 Ga 2.99, 3 Zn 3.00
Ga 0.8694 0.8694 0.3918  3 Pt 2.69, 3 Ga 2.99, 3 Zn 3.00
Pt 0.5000 0.5000 0.5000  8 Ga 2.64-2.69
Zn 0.7372 0.7372 0.7884  3 Ga 2.50
Zn 0.2628 0.2628 0.2116  3 Ga 2.50
Ca 0.0000 0.0000 0.0000  6 Zn 3.17, 6 Ga 3.18

# 4
Here is crystalline Ca2ZnGa3Pt4 at its relaxed geometry from the Alexandria database. Energies are from PBE.

The space group is P-4m2 (115). For the energy, the calculation gives -4.70 eV per atom.

Cell lengths 4.1789, 4.1789, 10.8878 Å; angles 90.00, 90.00, 90.00 degrees
Last column: nearest neighbours and their distance in Å.
Element x y z (fractional)
Ga 0.5000 0.0000 0.8662  5 Pt 2.47-2.55
Ga 0.0000 0.0000 0.5000  4 Pt 2.58
Ga 0.0000 0.5000 0.1338  5 Pt 2.47-2.55
Pt 0.0000 0.0000 0.0000  4 Ga 2.55
Pt 0.0000 0.5000 0.3608  3 Ga 2.47-2.58, 2 Zn 2.58
Pt 0.5000 0.5000 0.0000  4 Ga 2.55
Pt 0.5000 0.0000 0.6392  3 Ga 2.47-2.58, 2 Zn 2.58
Zn 0.5000 0.5000 0.5000  4 Pt 2.58
Ca 0.0000 0.5000 0.7472  8 Pt 3.18-3.46, 6 Ga 3.23-3.41, 2 Zn 3.41
Ca 0.5000 0.0000 0.2528  8 Pt 3.18-3.46, 6 Ga 3.23-3.41, 2 Zn 3.41

# 5
Here is crystalline Ca2PuGa10 at its relaxed geometry from the Alexandria database. Energies are from PBE.

The space group is P-1 (2). For the energy, the calculation gives -4.05 eV per atom.

Cell lengths 5.9452, 5.7900, 15.6456 Å; angles 95.70, 89.17, 85.80 degrees
Last column: nearest neighbours and their distance in Å.
Element x y z (fractional)
Ga 0.4784 0.7939 0.9598  4 Ga 2.56-2.79
Ga 0.1994 0.4169 0.6917  5 Ga 2.66-2.90
Ga 0.5239 0.6649 0.4514  5 Ga 2.59-2.88
Ga 0.0469 0.8411 0.2006  6 Ga 2.63-2.84
Ga 0.9142 0.7822 0.6706  5 Ga 2.61-2.84
Ga 0.1953 0.9984 0.4654  3 Ga 2.55-2.65
Ga 0.5216 0.2061 0.0402  4 Ga 2.56-2.79
Ga 0.1888 0.7636 0.8255  5 Ga 2.66-2.96
Ga 0.2860 0.6101 0.3089  5 Ga 2.63-2.90
Ga 0.8690 0.4962 0.9339  4 Ga 2.61-2.80
Ga 0.3095 0.2098 0.1842  5 Ga 2.56-2.87
Ga 0.7140 0.3899 0.6911  5 Ga 2.63-2.90
Ga 0.8112 0.2364 0.1745  5 Ga 2.66-2.96
Ga 0.6905 0.7902 0.8158  5 Ga 2.56-2.87
Ga 0.8006 0.5831 0.3083  5 Ga 2.66-2.90
Ga 0.0858 0.2178 0.3294  5 Ga 2.61-2.84
Ga 0.1310 0.5038 0.0661  4 Ga 2.61-2.80
Ga 0.9531 0.1589 0.7994  6 Ga 2.63-2.84
Ga 0.4761 0.3351 0.5486  5 Ga 2.59-2.88
Ga 0.8047 0.0016 0.5346  3 Ga 2.55-2.65
Pu 0.0000 0.0000 0.0000  10 Ga 3.04-3.37
Pu 0.0000 0.5000 0.5000  10 Ga 3.00-3.31
Ca 0.5963 0.1109 0.3531  10 Ga 3.04-3.25
Ca 0.4037 0.8891 0.6469  10 Ga 3.04-3.25
Ca 0.5713 0.7103 0.1407  9 Ga 2.97-3.26
Ca 0.4287 0.2897 0.8593  9 Ga 2.97-3.26

# 6
Here is crystalline Ca2PuGa at its relaxed geometry from the Alexandria database. Energies are from PBE.

The space group is R-3m (166). For the energy, the calculation gives -5.18 eV per atom.

Cell lengths 3.5167, 3.5167, 11.7540 Å; angles 81.40, 81.40, 60.00 degrees
Last column: nearest neighbours and their distance in Å.
Element x y z (fractional)
Ca 0.9012 0.9012 0.2964  3 Ga 3.11, 1 Pu 3.43
Ca 0.0988 0.0988 0.7036  3 Ga 3.11, 1 Pu 3.43
Pu 0.0000 0.0000 0.0000  2 Ca 3.43, 6 Pu 3.52
Ga 0.5000 0.5000 0.5000  6 Ca 3.11

# 7
Here is crystalline CaPuGa at its relaxed geometry from the Alexandria database. Energies are from PBE.

The space group is I4mm (107). The calculation puts the energy relative to the lowest polymorph listed for this composition at 31 kJ/mol of formula units. For the energy, the calculation gives -6.58 eV per atom.

Cell lengths 3.5251, 3.5251, 7.0279 Å; angles 104.52, 104.52, 90.00 degrees
Last column: nearest neighbours and their distance in Å.
Element x y z (fractional)
Pu 0.3059 0.3059 0.6118  4 Ga 3.07
Ca 0.0243 0.0243 0.0486  4 Ga 3.14
Ga 0.6698 0.6698 0.3396  4 Pu 3.07, 4 Ca 3.14

# 8
Here is crystalline CaPuGa4 at its relaxed geometry from the Alexandria database. Energies are from PBE.

The space group is F-43m (216). The calculation puts the energy relative to the lowest polymorph listed for this composition at 32 kJ/mol of formula units. For the energy, the calculation gives -5.10 eV per atom.

Cell lengths 5.5792, 5.5792, 5.5792 Å; angles 60.00, 60.00, 60.00 degrees
Last column: nearest neighbours and their distance in Å.
Element x y z (fractional)
Ca 0.2500 0.2500 0.2500  12 Ga 3.27, 4 Pu 3.42
Ga 0.1230 0.6257 0.6257  6 Ga 2.77-2.80
Ga 0.6257 0.1230 0.6257  6 Ga 2.77-2.80
Ga 0.6257 0.6257 0.6257  6 Ga 2.77-2.80
Ga 0.6257 0.6257 0.1230  6 Ga 2.77-2.80
Pu 0.0000 0.0000 0.0000  12 Ga 3.27, 4 Ca 3.42

# 9
Here is crystalline CaPuGa at its relaxed geometry from the Alexandria database. Energies are from PBE.

The space group is P2_1/m (11). The calculation puts the energy relative to the lowest polymorph listed for this composition at 0 kJ/mol of formula units. For the energy, the calculation gives -6.69 eV per atom.

Cell lengths 3.6836, 3.6864, 11.8624 Å; angles 89.99, 89.83, 90.00 degrees
Last column: nearest neighbours and their distance in Å.
Element x y z (fractional)
Ga 0.8734 0.2913 0.5444  5 Pu 3.07-3.40, 4 Ca 3.20-3.21
Ga 0.3715 0.7909 0.9679  5 Pu 3.07-3.40, 4 Ca 3.20-3.21
Ca 0.3734 0.7911 0.3867  4 Ga 3.20-3.21, 1 Pu 3.49
Ca 0.8714 0.2909 0.1256  4 Ga 3.20-3.21, 1 Pu 3.49
Pu 0.8720 0.2911 0.8310  5 Ga 3.07-3.40, 4 Pu 3.15-3.16
Pu 0.3729 0.7914 0.6813  5 Ga 3.07-3.40, 4 Pu 3.15-3.16

# 10
Here is crystalline CaPuGa6 at its relaxed geometry from the Alexandria database. Energies are from PBE.

The space group is P-6m2 (187). For the energy, the calculation gives -4.68 eV per atom.

Cell lengths 4.6915, 6.2557, 6.2557 Å; angles 120.02, 90.00, 90.00 degrees
Last column: nearest neighbours and their distance in Å.
Element x y z (fractional)
Ga 0.5000 0.9020 0.0980  6 Ga 2.85-2.86, 2 Ca 3.06, 2 Pu 3.13
Ga 0.5000 0.9021 0.5542  6 Ga 2.85-2.86, 2 Ca 3.06, 2 Pu 3.13
Ga 0.5000 0.4458 0.0979  6 Ga 2.85-2.86, 2 Ca 3.06, 2 Pu 3.13
Ga 0.0000 0.0510 0.4006  6 Ga 2.82-2.86, 2 Pu 3.07, 2 Ca 3.13
Ga 0.0000 0.5994 0.9490  6 Ga 2.82-2.86, 2 Pu 3.07, 2 Ca 3.13
Ga 0.0000 0.5995 0.4005  6 Ga 2.82-2.86, 2 Pu 3.07, 2 Ca 3.13
Ca 0.0000 0.0832 0.9168  12 Ga 3.06-3.13
Pu 0.5000 0.4167 0.5833  12 Ga 3.07-3.13

no.,calculated volume (A^3/atom)
1,19.64
2,18.97
3,18.72
4,19.01
5,20.55
6,31.00
7,27.22
8,20.47
9,26.85
10,19.87